[1]
EuHoGa after structural relaxation. Source: Alexandria, functional PBE.

Output
Its energy of formation is -0.52 eV per formula unit. The calculation puts the calculated total energy at -6.1325 eV per atom. Its symmetry is F-43m. For the energy above the most stable polymorph in this dataset, the calculation gives 144 meV per atom.

CIF file:
```
data_EuHoGa
_chemical_formula_sum 'Eu1 Ho1 Ga1'
_symmetry_space_group_name_H-M 'P 1'
_symmetry_Int_Tables_number 1
_symmetry_space_group_name_Hall 'P 1'
_cell_length_a 5.094
_cell_length_b 5.094
_cell_length_c 5.094
_cell_angle_alpha 60.00
_cell_angle_beta 60.00
_cell_angle_gamma 60.00
loop_
_atom_site_label
_atom_site_type_symbol
_atom_site_fract_x
_atom_site_fract_y
_atom_site_fract_z
Eu1 Eu 0.000 0.000 0.000
Ho1 Ho 0.500 0.500 0.500
Ga1 Ga 0.250 0.250 0.250
```


[2]
NaFe3Pd after structural relaxation. Source: Alexandria, functional PBE.

Output
Its energy of formation is 5.26 eV per formula unit. The calculation puts the calculated total energy at -5.3277 eV per atom. Its symmetry is Pm-3m. For the energy above the most stable polymorph in this dataset, the calculation gives 0 meV per atom.

CIF file:
```
data_NaFe3Pd
_chemical_formula_sum 'Na1 Fe3 Pd1'
_symmetry_space_group_name_H-M 'P 1'
_symmetry_Int_Tables_number 1
_symmetry_space_group_name_Hall 'P 1'
_cell_length_a 4.749
_cell_length_b 4.749
_cell_length_c 4.749
_cell_angle_alpha 90.00
_cell_angle_beta 90.00
_cell_angle_gamma 90.00
loop_
_atom_site_label
_atom_site_type_symbol
_atom_site_fract_x
_atom_site_fract_y
_atom_site_fract_z
Na1 Na 0.500 0.500 0.500
Fe1 Fe 0.000 0.500 0.000
Fe2 Fe 0.000 0.000 0.500
Fe3 Fe 0.500 0.000 0.000
Pd1 Pd 0.000 0.000 0.000
```